(1)
A plane-wave DFT calculation with SCAN was carried out for a PBEsol-optimized structure of CaBi2.

POSCAR file:
```
CaBi2
1.0
-4.0646 -1.4578 1.3814
1.7485 -4.3489 0.5553
2.9118 -0.3429 8.2058
Ca Bi
2 4
direct
0.2500 0.0983 0.8035 Ca
0.7500 0.9017 0.1965 Ca
0.7500 0.5666 0.8667 Bi
0.2500 0.7429 0.5141 Bi
0.2500 0.4334 0.1333 Bi
0.7500 0.2571 0.4859 Bi
```

## Properties
formation enthalpy at 0 K	-596.9	meV per atom
crystal system	orthorhombic

---

(2)
A plane-wave DFT calculation with SCAN was carried out for a PBEsol-optimized structure of PIOF2.

POSCAR file:
```
PIOF2
1.0
3.9724 0.0000 0.0000
0.0000 4.7080 0.0000
0.0000 0.0000 4.7080
P F O I
1 2 1 1
direct
0.5000 0.5000 0.5000 P
0.0000 0.5000 0.0000 F
0.0000 0.0000 0.5000 F
0.5000 0.0000 0.0000 O
0.0000 0.0000 0.0000 I
```

## Properties
E_form (uncorrected)	125	meV per atom
crystal system	tetragonal

---

(3)
A plane-wave DFT calculation with SCAN was carried out for a PBEsol-optimized structure of Ru2WBr.

POSCAR file:
```
Ru2WBr
1.0
2.8814 -0.0034 0.0000
-0.3230 4.7894 0.0000
-1.2792 -2.3930 4.3609
W Ru Br
1 2 1
direct
0.5000 0.0000 0.0000 W
0.0000 0.0000 0.5000 Ru
0.5000 0.5000 0.5000 Ru
0.0000 0.5000 0.0000 Br
```

## Properties
relative energy among the computed polymorphs	0.0000	eV per atom
E_form (uncorrected)	1085	meV per atom
crystal system	monoclinic

---

Number 1: E_tot -56.204 eV/atom, total moment 0.00 μB per formula unit. Number 2: E_tot -11.965 eV/atom, total moment 2.75 μB per formula unit. Number 3: E_tot -38.615 eV/atom, total moment 0.00 μB per formula unit.